Here is MnBi2PtO8 after structural relaxation from Alexandria. Energies are from PBE with a Hubbard U.

```
data_MnBi2PtO8
_symmetry_space_group_name_H-M 'P 1 2/m 1'
_symmetry_Int_Tables_number 10
_symmetry_space_group_name_Hall '-P 2y'
_cell_length_a 4.792
_cell_length_b 6.824
_cell_length_c 4.798
_cell_angle_alpha 90.00
_cell_angle_beta 90.46
_cell_angle_gamma 90.00
loop_
_atom_site_label
_atom_site_type_symbol
_atom_site_fract_x
_atom_site_fract_y
_atom_site_fract_z
_atom_site_occupancy
Mn1 Mn 0.000 0.000 0.000 1
Bi1 Bi 0.500 0.250 0.500 1
Pt1 Pt 0.000 0.500 0.000 1
O1 O 0.179 0.256 0.823 1
O2 O 0.292 0.000 0.294 1
O3 O 0.294 0.500 0.297 1
```

Values from the calculation:
Total magnetization, μB per atom: 0.357
Uncorrected energy, eV/atom: -5.981